1.
VASP calculation (PBE) on a relaxed CaAlAs2 crystal.

CIF file:
```
data_CaAlAs2
_chemical_formula_sum 'Ca1 Al1 As2'
_symmetry_space_group_name_H-M 'P 1'
_symmetry_Int_Tables_number 1
_symmetry_space_group_name_Hall 'P 1'
_cell_length_a 5.2626
_cell_length_b 5.2626
_cell_length_c 5.2626
_cell_angle_alpha 136.36
_cell_angle_beta 113.24
_cell_angle_gamma 83.21
loop_
_atom_site_label
_atom_site_fract_x
_atom_site_fract_y
_atom_site_fract_z
As1 0.5394 0.5394 0.0000
As2 0.9606 0.9606 0.0000
Ca1 0.2500 0.7500 0.5000
Al1 0.7500 0.2500 0.5000
```

Output
space group = Immm, No. 71
energy relative to the lowest polymorph listed for this composition = 0.2117 eV/atom
total magnetization = 0.0 μB per formula unit
ΔE_f = -405 meV per atom
volume = 89 Å³ per cell

---

2.
VASP calculation (PBE) on a relaxed Sm3DySc2 crystal.

CIF file:
```
data_Sm3DySc2
_chemical_formula_sum 'Sm6 Dy2 Sc4'
_symmetry_space_group_name_H-M 'P 1'
_symmetry_Int_Tables_number 1
_symmetry_space_group_name_Hall 'P 1'
_cell_length_a 7.0061
_cell_length_b 6.0292
_cell_length_c 9.2402
_cell_angle_alpha 89.53
_cell_angle_beta 112.28
_cell_angle_gamma 90.00
loop_
_atom_site_label
_atom_site_fract_x
_atom_site_fract_y
_atom_site_fract_z
Sc1 0.5440 0.0807 0.3356
Sc2 0.2085 0.4193 0.6644
Sc3 0.7915 0.5807 0.3356
Sc4 0.4560 0.9193 0.6644
Dy1 0.8730 0.7500 0.0000
Dy2 0.1270 0.2500 0.0000
Sm1 0.7046 0.4141 0.6616
Sm2 0.6229 0.2500 0.0000
Sm3 0.2954 0.5859 0.3384
Sm4 0.3771 0.7500 0.0000
Sm5 0.9570 0.9141 0.6616
Sm6 0.0430 0.0859 0.3384
```

Output
space group = C2/c, No. 15
energy relative to the lowest polymorph listed for this composition = 0.0000 eV/atom
total magnetization = 0.0 μB per formula unit
ΔE_f = 54 meV per atom
volume = 361 Å³ per cell

---

3.
VASP calculation (PBE) on a relaxed Nd2NCl2 crystal.

CIF file:
```
data_Nd2NCl2
_chemical_formula_sum 'Nd4 N2 Cl4'
_symmetry_space_group_name_H-M 'P 1'
_symmetry_Int_Tables_number 1
_symmetry_space_group_name_Hall 'P 1'
_cell_length_a 4.0501
_cell_length_b 7.6086
_cell_length_c 9.8869
_cell_angle_alpha 99.32
_cell_angle_beta 101.82
_cell_angle_gamma 90.00
loop_
_atom_site_label
_atom_site_fract_x
_atom_site_fract_y
_atom_site_fract_z
Cl1 0.8960 0.8138 0.7920
Cl2 0.1040 0.1862 0.2080
Cl3 0.4234 0.2880 0.8469
Cl4 0.5766 0.7120 0.1531
Nd1 0.6741 0.4371 0.3483
Nd2 0.1695 0.8617 0.3390
Nd3 0.3259 0.5629 0.6517
Nd4 0.8305 0.1383 0.6610
N1 0.2101 0.6041 0.4201
N2 0.7899 0.3959 0.5799
```

Output
formation energy (no corrections) = -1.75 eV per atom
space group = C2/m, No. 12
total magnetization = 1.0 μB per formula unit
volume = 294 Å³ per cell

---

4.
VASP calculation (PBE) on a relaxed Te2OsAu crystal.

CIF file:
```
data_Te2OsAu
_chemical_formula_sum 'Te2 Os1 Au1'
_symmetry_space_group_name_H-M 'P 1'
_symmetry_Int_Tables_number 1
_symmetry_space_group_name_Hall 'P 1'
_cell_length_a 3.0793
_cell_length_b 3.0793
_cell_length_c 10.8530
_cell_angle_alpha 90.00
_cell_angle_beta 90.00
_cell_angle_gamma 119.43
loop_
_atom_site_label
_atom_site_fract_x
_atom_site_fract_y
_atom_site_fract_z
Au1 0.5000 0.5000 0.2500
Te1 0.0000 0.0000 0.5442
Te2 0.0000 0.0000 0.9558
Os1 0.5000 0.5000 0.7500
```

Output
formation energy (no corrections) = 0.66 eV per atom
space group = Cmmm, No. 65
energy relative to the lowest polymorph listed for this composition = 0.4823 eV/atom
total magnetization = 0.0 μB per formula unit
volume = 90 Å³ per cell

---

Listing electronic total energy for the structures above in their given order: -4.17 -5.18 -6.06 -4.54 eV/atom.